Record 1
The following is a DFT calculation (PBE) of a relaxed structure of LiLaIn.

The structure in extended XYZ format:
```
3
Lattice="5.170 0.000 0.000 -2.585 4.478 0.000 0.000 0.000 3.449" Properties=species:S:1:pos:R:3 pbc="T T T"
La 0.000 2.985 1.150
In 0.000 0.000 2.875
Li 2.585 1.493 2.874
```

Values from the calculation:
The total magnetization is 0.21 μB/f.u. Its formation energy is -0.3563 eV/atom. As for the crystal system: hexagonal. The symmetry is P-6m2. For the calculated volume, the calculation gives 26.62 Å³/atom.



Record 2
The following is a DFT calculation (PBE) of a relaxed structure of CaHf3Ir.

The structure in extended XYZ format:
```
5
Lattice="5.117 0.000 0.000 0.000 5.117 0.000 0.000 0.000 5.117" Properties=species:S:1:pos:R:3 pbc="T T T"
Hf 0.000 2.559 0.000
Hf 0.000 0.000 2.559
Ca 2.559 2.559 2.559
Hf 2.559 0.000 0.000
Ir 0.000 0.000 0.000
```

Values from the calculation:
The total magnetization is 0.00 μB/f.u. Its formation energy is 0.1002 eV/atom. As for the crystal system: cubic. The symmetry is Pm-3m. For the calculated volume, the calculation gives 26.80 Å³/atom.



Record 3
The following is a DFT calculation (PBE) of a relaxed structure of Er12Ga6Cu.

The structure in extended XYZ format:
```
19
Lattice="8.338 -0.085 -0.102 -1.348 8.228 -0.102 -1.348 -1.571 8.078" Properties=species:S:1:pos:R:3 pbc="T T T"
Er 5.479 3.964 3.338
Ga 4.124 6.454 2.941
Ga 5.754 1.991 5.499
Er 3.088 2.209 6.517
Cu 0.000 0.000 0.000
Er 7.407 2.427 0.432
Ga 4.546 2.232 0.998
Er 4.365 7.521 0.231
Er 1.276 -0.949 7.643
Er 6.772 -0.748 5.408
Er -1.131 7.320 2.465
Er 0.162 2.608 4.536
Ga 1.095 4.340 6.875
Er -1.766 4.145 7.441
Er 3.926 0.766 3.377
Ga -0.113 4.582 2.375
Ga 1.517 0.119 4.932
Er 1.715 5.806 4.497
Er 2.554 4.364 1.357
```

Values from the calculation:
The total magnetization is 0.00 μB/f.u. Its formation energy is -0.1667 eV/atom. As for the crystal system: trigonal. The symmetry is R-3. For the calculated volume, the calculation gives 28.98 Å³/atom.



Record 4
The following is a DFT calculation (PBE) of a relaxed structure of RbTl4Zn.

The structure in extended XYZ format:
```
6
Lattice="-5.019 1.141 -4.144 0.791 -0.960 -6.490 -3.034 -5.054 -2.986" Properties=species:S:1:pos:R:3 pbc="T T T"
Rb -1.815 -1.218 -3.405
Tl -3.017 -0.505 -7.021
Tl -4.943 -2.567 -5.256
Tl -4.545 -3.050 -8.525
Tl -2.018 -3.625 -6.438
Zn 0.000 0.000 0.000
```

Values from the calculation:
The total magnetization is 0.00 μB/f.u. Its formation energy is 0.1154 eV/atom. As for the crystal system: cubic. The symmetry is F-43m. For the calculated volume, the calculation gives 34.01 Å³/atom.



Record 5
The following is a DFT calculation (PBE) of a relaxed structure of NdTm3Mg2.

The structure in extended XYZ format:
```
6
Lattice="3.612 0.000 0.000 0.000 3.612 0.000 0.000 0.000 13.164" Properties=species:S:1:pos:R:3 pbc="T T T"
Nd 1.806 1.806 6.582
Tm 0.000 0.000 0.000
Mg 1.806 1.806 11.161
Tm 0.000 0.000 4.067
Mg 1.806 1.806 2.003
Tm 0.000 0.000 9.097
```

Values from the calculation:
The total magnetization is 0.00 μB/f.u. Its formation energy is -0.0323 eV/atom. As for the crystal system: tetragonal. The symmetry is P4/mmm. For the calculated volume, the calculation gives 28.63 Å³/atom.



Record 6
The following is a DFT calculation (PBE) of a relaxed structure of HgAu.

The structure in extended XYZ format:
```
12
Lattice="-2.204 3.840 -6.538 -7.244 -3.077 0.635 -2.239 6.175 4.382" Properties=species:S:1:pos:R:3 pbc="T T T"
Hg -4.182 0.005 1.413
Hg -5.301 3.093 3.604
Au -4.173 -0.578 -1.317
Hg -6.535 -0.388 -2.793
Au -1.662 3.464 -2.173
Au -2.930 2.318 2.350
Au -2.781 6.551 0.018
Hg -2.913 1.151 -3.110
Au -5.275 1.342 -4.586
Hg -1.670 4.048 0.557
Au -6.552 0.780 2.667
Hg -2.773 5.968 -2.712
```

Values from the calculation:
The total magnetization is 0.00 μB/f.u. Its formation energy is 0.3493 eV/atom. As for the crystal system: cubic. The symmetry is Pm-3n. For the calculated volume, the calculation gives 41.02 Å³/atom.



Record 7
The following is a DFT calculation (PBE) of a relaxed structure of Ca4SbIr.

The structure in extended XYZ format:
```
12
Lattice="6.107 -0.248 -1.530 -2.646 7.406 -2.872 -0.147 -0.377 8.362" Properties=species:S:1:pos:R:3 pbc="T T T"
Ca 3.576 1.319 1.181
Ca 0.685 5.193 -2.263
Ca 5.398 -0.103 4.436
Ir -1.116 7.336 -3.243
Ca -0.261 5.462 2.780
Ca 3.101 4.376 3.404
Ca -2.084 6.883 -0.476
Sb 2.846 4.379 0.081
Ca 2.629 1.588 6.224
Ca 0.213 2.405 0.557
Ir 4.430 -0.555 7.203
Sb 0.468 2.402 3.879
```

Values from the calculation:
The total magnetization is 0.00 μB/f.u. For the raw formation energy, the calculation gives -0.60 eV/atom. As for the crystal system: monoclinic. The symmetry is C2/c. For the calculated volume, the calculation gives 30.23 Å³/atom.



Record 8
The following is a DFT calculation (PBE) of a relaxed structure of PrTmC.

The structure in extended XYZ format:
```
6
Lattice="3.643 0.000 0.000 0.000 4.987 0.000 0.000 0.000 8.049" Properties=species:S:1:pos:R:3 pbc="T T T"
C 1.821 0.000 4.965
Tm 1.821 2.493 4.744
Tm 0.000 0.000 3.305
Pr 1.821 2.493 1.338
Pr 0.000 0.000 6.711
C 0.000 2.493 3.084
```

Values from the calculation:
The total magnetization is 0.01 μB/f.u. Its formation energy is -0.1823 eV/atom. As for the crystal system: orthorhombic. The symmetry is Pmmn. For the calculated volume, the calculation gives 24.37 Å³/atom.



Record 9
The following is a DFT calculation (PBE) of a relaxed structure of Tb4ZnRh3.

The structure in extended XYZ format:
```
8
Lattice="-3.331 1.008 1.403 0.431 -3.028 3.197 4.760 7.172 6.151" Properties=species:S:1:pos:R:3 pbc="T T T"
Tb 0.679 1.023 0.877
Tb 1.370 5.078 4.625
Rh 2.764 7.177 6.425
Tb 4.264 4.586 6.831
Rh 1.944 2.929 2.513
Tb 0.311 1.642 4.575
Rh 3.020 2.711 5.222
Zn -1.111 -0.500 2.738
```

Values from the calculation:
The total magnetization is 0.00 μB/f.u. Its formation energy is -0.7166 eV/atom. As for the crystal system: orthorhombic. The symmetry is Pmm2. For the calculated volume, the calculation gives 21.96 Å³/atom.



Record 10
The following is a DFT calculation (PBE) of a relaxed structure of Dy6Ge2Se3S.

The structure in extended XYZ format:
```
12
Lattice="-1.555 2.735 2.608 -1.894 -6.039 5.204 9.032 1.014 1.119" Properties=species:S:1:pos:R:3 pbc="T T T"
Dy 0.920 -1.302 5.116
Dy 1.753 1.597 2.572
S -0.777 1.368 1.304
Dy 4.662 -0.987 3.815
Dy 5.968 -0.849 7.650
Se 1.148 -4.249 5.141
Dy -0.386 -1.440 1.281
Se -1.724 -1.652 3.906
Se 4.434 1.960 3.790
Ge 2.113 -1.205 2.523
Ge 3.469 -1.085 6.408
Dy 3.829 -3.886 6.359
```

Values from the calculation:
The total magnetization is 0.00 μB/f.u. For the raw formation energy, the calculation gives -1.58 eV/atom. As for the crystal system: monoclinic. The symmetry is C2/m. For the calculated volume, the calculation gives 24.19 Å³/atom.



Record 11
The following is a DFT calculation (PBE) of a relaxed structure of Nd4CoPb2.

The structure in extended XYZ format:
```
14
Lattice="-1.125 -1.836 -6.089 1.284 -6.555 1.739 -8.382 0.008 6.216" Properties=species:S:1:pos:R:3 pbc="T T T"
Co -0.499 -5.143 1.528
Nd -2.712 -0.880 -1.302
Nd -1.449 -3.279 -4.439
Nd -5.511 -7.503 3.168
Co -7.723 -3.240 0.338
Nd -2.434 -5.089 3.162
Nd -6.151 -4.232 2.300
Nd -2.071 -4.152 -0.434
Nd -6.774 -5.105 6.306
Pb -4.603 -6.310 0.162
Pb -3.619 -2.074 1.704
Pb -8.019 -2.224 4.387
Pb -0.203 -6.160 -2.521
Nd -5.788 -3.295 -1.296
```

Values from the calculation:
The total magnetization is 0.00 μB/f.u. Its formation energy is -0.3371 eV/atom. As for the crystal system: monoclinic. The symmetry is P2_1/m. For the calculated volume, the calculation gives 30.13 Å³/atom.



Record 12
The following is a DFT calculation (PBE) of a relaxed structure of KAu3C.

The structure in extended XYZ format:
```
5
Lattice="5.838 0.000 0.000 0.000 5.838 0.000 0.000 0.000 5.838" Properties=species:S:1:pos:R:3 pbc="T T T"
K 0.000 0.000 0.000
Au 0.000 0.000 2.919
Au 0.000 2.919 0.000
Au 2.919 0.000 0.000
C 2.919 2.919 2.919
```

Values from the calculation:
The total magnetization is 1.13 μB/f.u. Its formation energy is 2.5151 eV/atom. As for the crystal system: cubic. The symmetry is Pm-3m. For the calculated volume, the calculation gives 39.80 Å³/atom.



Record 13
The following is a DFT calculation (PBE) of a relaxed structure of Pr3SiBi.

The structure in extended XYZ format:
```
20
Lattice="-1.708 -3.461 7.549 7.418 -4.623 -0.450 5.076 5.981 3.882" Properties=species:S:1:pos:R:3 pbc="T T T"
Pr 11.251 0.028 3.393
Pr 8.612 2.296 4.847
Bi 4.191 1.592 8.812
Si 8.904 -0.851 5.183
Si 1.883 -1.253 5.799
Si 2.991 -0.674 1.553
Pr 4.372 -1.765 4.098
Bi 5.348 -3.644 6.673
Pr 3.134 -1.757 8.583
Si 7.796 -1.430 9.429
Pr 6.414 -0.339 6.884
Pr 8.621 -3.341 7.026
Bi 5.439 1.540 4.309
Pr 10.008 0.059 7.887
Pr 2.175 -4.400 6.135
Pr -0.465 -2.132 7.589
Pr 7.652 -0.347 2.399
Bi 6.595 -3.696 2.170
Pr 0.778 -2.163 3.095
Pr 2.166 1.236 3.956
```

Values from the calculation:
The total magnetization is 0.00 μB/f.u. For the raw formation energy, the calculation gives -0.59 eV/atom. As for the crystal system: monoclinic. The symmetry is C2/c. For the calculated volume, the calculation gives 32.29 Å³/atom.



Record 14
The following is a DFT calculation (PBE) of a relaxed structure of Co5P.

The structure in extended XYZ format:
```
6
Lattice="1.290 -6.359 0.000 1.290 6.359 0.000 0.000 0.000 3.950" Properties=species:S:1:pos:R:3 pbc="T T T"
Co 1.290 -2.070 0.000
Co 1.290 2.135 0.000
Co 1.290 -6.350 0.000
Co 1.290 -3.535 1.975
P 1.290 4.888 1.975
Co 1.290 0.694 1.975
```

Values from the calculation:
The total magnetization is 7.06 μB/f.u. Its formation energy is -0.0546 eV/atom. As for the crystal system: orthorhombic. The symmetry is Amm2. For the calculated volume, the calculation gives 10.80 Å³/atom.



Record 15
The following is a DFT calculation (PBE) of a relaxed structure of Cs4SrTh3S8.

The structure in extended XYZ format:
```
16
Lattice="8.513 0.000 0.000 0.000 9.452 0.655 -4.257 -4.254 6.023" Properties=species:S:1:pos:R:3 pbc="T T T"
Sr 0.000 4.726 0.328
S -2.020 2.459 6.173
S 0.000 4.478 3.316
Cs 4.257 0.000 0.000
S 2.020 2.459 6.173
S 4.257 0.720 3.363
Cs 0.000 0.000 0.000
S 6.276 2.738 0.505
S 2.237 2.738 0.505
Cs 2.128 -2.127 3.012
Th 4.257 4.726 0.328
Cs -2.128 -2.127 3.012
Th -2.128 2.599 3.339
Th 2.128 2.599 3.339
S 0.000 0.665 3.479
S 4.257 4.532 3.200
```

Values from the calculation:
The total magnetization is 0.00 μB/f.u. For the raw formation energy, the calculation gives -1.71 eV/atom. As for the crystal system: trigonal. The symmetry is R-3m. For the calculated volume, the calculation gives 31.77 Å³/atom.



Record 16
The following is a DFT calculation (PBE) of a relaxed structure of AcSm2YSe4.

The structure in extended XYZ format:
```
8
Lattice="4.166 0.000 0.000 0.000 7.263 -0.156 0.000 2.549 7.028" Properties=species:S:1:pos:R:3 pbc="T T T"
Sm 0.000 2.549 7.028
Y 0.000 4.906 3.436
Se 4.166 2.422 1.836
Se 0.000 7.390 5.035
Se 2.083 6.116 1.728
Se 2.083 3.696 5.144
Ac 2.083 3.631 -0.078
Sm 2.083 1.275 3.514
```

Values from the calculation:
The total magnetization is 0.00 μB/f.u. For the raw formation energy, the calculation gives -1.79 eV/atom. As for the crystal system: monoclinic. The symmetry is P2/m. For the calculated volume, the calculation gives 26.79 Å³/atom.



Record 17
The following is a DFT calculation (PBE) of a relaxed structure of Ta4Mo4W3.

The structure in extended XYZ format:
```
11
Lattice="2.820 -0.011 -0.105 -0.008 4.473 -0.674 -0.375 -0.094 14.567" Properties=species:S:1:pos:R:3 pbc="T T T"
Mo 0.970 2.425 0.906
Mo 1.119 0.769 5.092
Ta 2.088 3.199 6.029
Mo 1.467 1.943 12.882
W 2.820 -0.011 -0.105
W 2.261 1.553 10.282
Mo 1.317 3.600 8.696
W 0.175 2.816 3.506
Ta 0.480 3.991 11.305
Ta 1.956 0.378 2.483
Ta 0.349 1.170 7.760
```

Values from the calculation:
The total magnetization is 0.00 μB/f.u. Its formation energy is -0.1067 eV/atom. As for the crystal system: monoclinic. The symmetry is C2/m. For the calculated volume, the calculation gives 16.67 Å³/atom.



Record 18
The following is a DFT calculation (PBE) of a relaxed structure of CdIr2W.

The structure in extended XYZ format:
```
4
Lattice="2.813 0.000 0.000 0.000 5.088 0.014 0.000 3.084 4.493" Properties=species:S:1:pos:R:3 pbc="T T T"
Cd 0.000 1.542 2.247
Ir 0.000 0.000 0.000
Ir 1.407 2.544 0.007
W 1.407 4.086 2.254
```

Values from the calculation:
The total magnetization is 0.00 μB/f.u. Its formation energy is 0.3472 eV/atom. As for the crystal system: monoclinic. The symmetry is P2/m. For the calculated volume, the calculation gives 16.05 Å³/atom.



Record 19
The following is a DFT calculation (PBE) of a relaxed structure of CaYCdPd.

The structure in extended XYZ format:
```
4
Lattice="-2.371 2.856 -3.568 1.605 -0.136 -4.891 -2.902 -2.265 -3.600" Properties=species:S:1:pos:R:3 pbc="T T T"
Pd -2.751 0.341 -9.044
Ca -1.834 0.228 -6.029
Y 0.000 0.000 0.000
Cd -0.917 0.114 -3.015
```

Values from the calculation:
The total magnetization is 0.00 μB/f.u. Its formation energy is -0.5043 eV/atom. As for the crystal system: cubic. The symmetry is F-43m. For the calculated volume, the calculation gives 24.13 Å³/atom.



Record 20
The following is a DFT calculation (PBE) of a relaxed structure of Mg2AlCl.

The structure in extended XYZ format:
```
4
Lattice="5.145 0.000 0.000 2.573 4.456 0.000 2.573 1.485 4.201" Properties=species:S:1:pos:R:3 pbc="T T T"
Mg 7.718 4.456 3.151
Mg 0.000 0.000 0.000
Cl 2.573 1.485 1.050
Al 5.145 2.971 2.101
```

Values from the calculation:
The total magnetization is 0.00 μB/f.u. For the raw formation energy, the calculation gives 0.08 eV/atom. As for the crystal system: cubic. The symmetry is F-43m. For the calculated volume, the calculation gives 24.08 Å³/atom.